[1]
Below is a PBEsol-optimized structure of TaBi3Cl, with properties calculated at the meta-GGA SCAN level.

a b c (Å): 5.394 5.394 5.394
angles (deg): 90.00 90.00 90.00
Space group Pm-3m (No. 221)
Inequivalent atoms, fractional coordinates:
1 Ta 0.000 0.000 0.000 [1 per cell]
2 Bi 0.000 0.000 0.500 [3 per cell]
3 Cl 0.500 0.500 0.500 [1 per cell]

The calculation puts the uncorrected formation energy at 0.227 eV/atom. The value obtained for the total magnetic moment is 0.0 μB per formula unit.

---

[2]
Below is a PBEsol-optimized structure of Y2HfPtAu, with properties calculated at the meta-GGA SCAN level.

a b c (Å): 5.150 5.150 5.071
angles (deg): 90.00 90.00 90.00
Space group P4/mmm (No. 123)
Inequivalent atoms, fractional coordinates:
1 Y 0.000 0.500 0.000 [2 per cell]
2 Hf 0.000 0.000 0.500 [1 per cell]
3 Pt 0.500 0.500 0.000 [1 per cell]
4 Au 0.500 0.500 0.500 [1 per cell]

The value obtained for the formation energy is 0.051 eV/atom. The value obtained for the total magnetic moment is 2.0 μB per formula unit.

---

Volume, respectively: 31.4; 26.9 Å³ per atom.